Record 1
Ta2TcMo | GGA-PBE | relaxed

Computed properties:
Space-group type   P4/mmm (123)
Raw total energy   -11.58 eV/atom
ΔH_f (0 K)   -0.36 eV per atom
Total magnetic moment   0.00 μB per formula unit

abc: 4.5373 4.5373 3.2038
angles: 90.00 90.00 90.00
Fractional coordinates of all 4 atoms:
Ta 0.0000 0.5000 0.0000
Ta 0.5000 0.0000 0.0000
Tc 0.0000 0.0000 0.5000
Mo 0.5000 0.5000 0.5000

Record 2
Ta5TcMo4 | GGA-PBE | relaxed

Computed properties:
Space-group type   P4/mmm (123)
Raw total energy   -11.56 eV/atom
ΔH_f (0 K)   -0.26 eV per atom
Total magnetic moment   0.00 μB per formula unit

abc: 3.2188 3.2188 16.1224
angles: 90.00 90.00 90.00
Fractional coordinates of all 10 atoms:
Ta 0.0000 0.0000 0.0000
Ta 0.0000 0.0000 0.2012
Ta 0.0000 0.0000 0.4015
Ta 0.0000 0.0000 0.5985
Ta 0.0000 0.0000 0.7988
Tc 0.5000 0.5000 0.5000
Mo 0.5000 0.5000 0.1004
Mo 0.5000 0.5000 0.3012
Mo 0.5000 0.5000 0.6988
Mo 0.5000 0.5000 0.8996

Record 3
Ta2TcMo | GGA-PBE | relaxed

Computed properties:
Space-group type   Fm-3m (225)
Raw total energy   -11.58 eV/atom
ΔH_f (0 K)   -0.35 eV per atom
Total magnetic moment   0.00 μB per formula unit

abc: 4.5344 4.5344 4.5344
angles: 60.00 60.00 60.00
Fractional coordinates of all 4 atoms:
Ta 0.2500 0.2500 0.2500
Ta 0.7500 0.7500 0.7500
Tc 0.0000 0.0000 0.0000
Mo 0.5000 0.5000 0.5000

Record 4
Ta2TeMo | GGA-PBE | relaxed

Computed properties:
Space-group type   F-43m (216)
Raw total energy   -9.06 eV/atom
Total magnetic moment   0.00 μB per formula unit

abc: 4.6821 4.6821 4.6821
angles: 60.00 60.00 60.00
Fractional coordinates of all 4 atoms:
Ta 0.0000 0.0000 0.0000
Ta 0.2500 0.2500 0.2500
Te 0.5000 0.5000 0.5000
Mo 0.7500 0.7500 0.7500

Record 5
ThTaMo | GGA-PBE | relaxed

Computed properties:
Space-group type   F-43m (216)
Raw total energy   -9.52 eV/atom
ΔH_f (0 K)   0.51 eV per atom
Total magnetic moment   0.00 μB per formula unit

abc: 4.6856 4.6856 4.6856
angles: 60.00 60.00 60.00
Fractional coordinates of all 3 atoms:
Th 0.0000 0.0000 0.0000
Ta 0.5000 0.5000 0.5000
Mo 0.7500 0.7500 0.7500

Record 6
TmTaMo | GGA-PBE | relaxed

Computed properties:
Space-group type   F-43m (216)
Raw total energy   -7.39 eV/atom
ΔH_f (0 K)   1.67 eV per atom
Total magnetic moment   0.16 μB per formula unit

abc: 4.5531 4.5531 4.5531
angles: 60.00 60.00 60.00
Fractional coordinates of all 3 atoms:
Tm 0.0000 0.0000 0.0000
Ta 0.2500 0.2500 0.2500
Mo 0.7500 0.7500 0.7500

Record 7
UTaMo | GGA-PBE | relaxed

Computed properties:
Space-group type   F-43m (216)
Raw total energy   -10.22 eV/atom
ΔH_f (0 K)   1.12 eV per atom
Total magnetic moment   0.01 μB per formula unit

abc: 4.4377 4.4377 4.4377
angles: 60.00 60.00 60.00
Fractional coordinates of all 3 atoms:
U 0.0000 0.0000 0.0000
Ta 0.2500 0.2500 0.2500
Mo 0.7500 0.7500 0.7500

Record 8
UTaMo | GGA-PBE | relaxed

Computed properties:
Space-group type   F-43m (216)
Raw total energy   -10.63 eV/atom
ΔH_f (0 K)   0.70 eV per atom
Total magnetic moment   0.93 μB per formula unit

abc: 4.5072 4.5072 4.5072
angles: 60.00 60.00 60.00
Fractional coordinates of all 3 atoms:
U 0.0000 0.0000 0.0000
Ta 0.5000 0.5000 0.5000
Mo 0.7500 0.7500 0.7500

Record 9
Ta2MoW2 | GGA-PBE | relaxed

Computed properties:
Space-group type   I4/mmm (139)
Raw total energy   -10.95 eV/atom
ΔH_f (0 K)   1.14 eV per atom
Total magnetic moment   0.01 μB per formula unit

abc: 6.9396 6.9396 6.9396
angles: 148.13 148.13 45.70
Fractional coordinates of all 5 atoms:
Ta 0.2500 0.7500 0.5000
Ta 0.7500 0.2500 0.5000
Mo 0.0000 0.0000 0.0000
W 0.4071 0.4071 0.0000
W 0.5929 0.5929 0.0000

Record 10
TaMo2W | GGA-PBE | relaxed

Computed properties:
Space-group type   Cmmm (65)
Raw total energy   -11.76 eV/atom
ΔH_f (0 K)   -0.13 eV per atom
Total magnetic moment   0.00 μB per formula unit

abc: 4.5204 4.5204 3.2030
angles: 90.00 90.00 90.11
Fractional coordinates of all 4 atoms:
Ta 0.0000 0.0000 0.0000
Mo 0.0000 0.5000 0.5000
Mo 0.5000 0.0000 0.5000
W 0.5000 0.5000 0.0000

Record 11
TaMo2W | GGA-PBE | relaxed

Computed properties:
Space-group type   P4/mmm (123)
Raw total energy   -11.76 eV/atom
ΔH_f (0 K)   -0.14 eV per atom
Total magnetic moment   0.00 μB per formula unit

abc: 3.1979 3.1979 6.4084
angles: 90.00 90.00 90.00
Fractional coordinates of all 4 atoms:
Ta 0.0000 0.0000 0.0000
Mo 0.5000 0.5000 0.2548
Mo 0.5000 0.5000 0.7452
W 0.0000 0.0000 0.5000

Record 12
TaMo2W | GGA-PBE | relaxed

Computed properties:
Space-group type   F-43m (216)
Raw total energy   -11.72 eV/atom
ΔH_f (0 K)   -0.10 eV per atom
Total magnetic moment   0.00 μB per formula unit

abc: 4.5237 4.5237 4.5237
angles: 60.00 60.00 60.00
Fractional coordinates of all 4 atoms:
Ta 0.0000 0.0000 0.0000
Mo 0.2500 0.2500 0.2500
Mo 0.5000 0.5000 0.5000
W 0.7500 0.7500 0.7500

Record 13
TaMo2W | GGA-PBE | relaxed

Computed properties:
Space-group type   Fm-3m (225)
Raw total energy   -11.77 eV/atom
ΔH_f (0 K)   -0.14 eV per atom
Total magnetic moment   0.00 μB per formula unit

abc: 4.5226 4.5226 4.5226
angles: 60.00 60.00 60.00
Fractional coordinates of all 4 atoms:
Ta 0.0000 0.0000 0.0000
Mo 0.2500 0.2500 0.2500
Mo 0.7500 0.7500 0.7500
W 0.5000 0.5000 0.5000

Record 14
TaMo2W | GGA-PBE | relaxed

Computed properties:
Space-group type   Fm-3m (225)
Raw total energy   -11.77 eV/atom
ΔH_f (0 K)   -0.14 eV per atom
Total magnetic moment   0.01 μB per formula unit

abc: 4.5222 4.5222 4.5222
angles: 60.00 60.00 60.00
Fractional coordinates of all 4 atoms:
Ta 0.0000 0.0000 0.0000
Mo 0.2500 0.2500 0.2500
Mo 0.7500 0.7500 0.7500
W 0.5000 0.5000 0.5000

Record 15
TaZnMo2 | GGA-PBE | relaxed

Computed properties:
Space-group type   F-43m (216)
Raw total energy   -8.53 eV/atom
ΔH_f (0 K)   0.17 eV per atom
Total magnetic moment   0.00 μB per formula unit

abc: 4.4915 4.4915 4.4915
angles: 60.00 60.00 60.00
Fractional coordinates of all 4 atoms:
Ta 0.0000 0.0000 0.0000
Zn 0.7500 0.7500 0.7500
Mo 0.2500 0.2500 0.2500
Mo 0.5000 0.5000 0.5000

Record 16
TaZnMo | GGA-PBE | relaxed

Computed properties:
Space-group type   F-43m (216)
Raw total energy   -7.23 eV/atom
ΔH_f (0 K)   0.75 eV per atom
Total magnetic moment   0.00 μB per formula unit

abc: 4.2278 4.2278 4.2278
angles: 60.00 60.00 60.00
Fractional coordinates of all 3 atoms:
Ta 0.0000 0.0000 0.0000
Zn 0.7500 0.7500 0.7500
Mo 0.5000 0.5000 0.5000

Record 17
Tb2Mo | GGA-PBE | relaxed

Computed properties:
Space-group type   Fd-3m (227)
Raw total energy   -4.88 eV/atom
ΔH_f (0 K)   1.82 eV per atom
Total magnetic moment   0.13 μB per formula unit

abc: 8.1566 8.1566 8.1566
angles: 60.00 60.00 60.00
Fractional coordinates of all 6 atoms:
Tb 0.0000 0.0000 0.0000
Tb 0.0000 0.0000 0.5000
Tb 0.0000 0.5000 0.0000
Tb 0.5000 0.0000 0.0000
Mo 0.1250 0.1250 0.1250
Mo 0.8750 0.8750 0.8750

Record 18
Tb2Mo | GGA-PBE | relaxed

Computed properties:
Space-group type   Fd-3m (227)
Raw total energy   -5.52 eV/atom
ΔH_f (0 K)   1.19 eV per atom
Total magnetic moment   0.01 μB per formula unit

abc: 5.9224 5.9224 5.9224
angles: 60.00 60.00 60.00
Fractional coordinates of all 6 atoms:
Tb 0.0000 0.0000 0.0000
Tb 0.0000 0.0000 0.5000
Tb 0.0000 0.5000 0.0000
Tb 0.5000 0.0000 0.0000
Mo 0.3750 0.3750 0.3750
Mo 0.6250 0.6250 0.6250

Record 19
TbTmMo | GGA-PBE | relaxed

Computed properties:
Space-group type   F-43m (216)
Raw total energy   -5.45 eV/atom
ΔH_f (0 K)   1.20 eV per atom
Total magnetic moment   1.84 μB per formula unit

abc: 4.8892 4.8892 4.8892
angles: 60.00 60.00 60.00
Fractional coordinates of all 3 atoms:
Tb 0.0000 0.0000 0.0000
Tm 0.7500 0.7500 0.7500
Mo 0.5000 0.5000 0.5000

Record 20
TbUMo | GGA-PBE | relaxed

Computed properties:
Space-group type   F-43m (216)
Raw total energy   -8.13 eV/atom
ΔH_f (0 K)   0.79 eV per atom
Total magnetic moment   1.40 μB per formula unit

abc: 4.7365 4.7365 4.7365
angles: 60.00 60.00 60.00
Fractional coordinates of all 3 atoms:
Tb 0.0000 0.0000 0.0000
U 0.5000 0.5000 0.5000
Mo 0.2500 0.2500 0.2500